P:
MoSe2Cl | PBE-GGA | relaxed

Computed properties:
SG: Immm, No. 71

Unit cell a=6.7176 b=6.7176 c=6.7176 alpha=153.77 beta=136.08 gamma=51.87
Last column: nearest neighbours and their distance in Å.
Fractional coordinates of all 4 atoms:
Mo 0.2500 0.7500 0.5000  4 Se 2.52
Se 0.4157 0.4157 0.0000  2 Mo 2.52
Se 0.0843 0.0843 0.0000  2 Mo 2.52
Cl 0.7500 0.2500 0.5000  4 Mo 2.94, 2 Cl 3.05, 4 Se 3.21

=====

Q:
MoSe2Cl | PBE-GGA | relaxed

Computed properties:
SG: R-3m, No. 166

Unit cell a=8.7074 b=8.7074 c=8.7074 alpha=22.87 beta=22.87 gamma=22.87
Last column: nearest neighbours and their distance in Å.
Fractional coordinates of all 4 atoms:
Mo 0.5000 0.5000 0.5000  6 Se 2.57
Se 0.8973 0.8973 0.8973  3 Mo 2.57, 1 Cl 2.61
Se 0.1027 0.1027 0.1027  3 Mo 2.57, 1 Cl 2.61
Cl 0.0000 0.0000 0.0000  2 Se 2.61

=====

Least stable = P

=====

P:
MoSe2Cl | PBE-GGA | relaxed

Computed properties:
SG: Imm2, No. 44

Unit cell a=7.3662 b=7.3662 c=7.3662 alpha=155.08 beta=143.54 gamma=44.67
Last column: nearest neighbours and their distance in Å.
Fractional coordinates of all 4 atoms:
Se 0.1156 0.1156 0.0000  2 Mo 2.52, 2 Se 2.73
Se 0.7234 0.2234 0.5000  2 Se 2.73, 4 Mo 2.84
Cl 0.4021 0.4021 0.0000  2 Mo 2.52
Mo 0.2589 0.7589 0.5000  2 Cl 2.52, 2 Se 2.52

=====

Q:
MoSe2Cl | PBE-GGA | relaxed

Computed properties:
SG: P4mm, No. 99

Unit cell a=2.9816 b=2.9816 c=9.9762 alpha=90.00 beta=90.00 gamma=90.00
Last column: nearest neighbours and their distance in Å.
Fractional coordinates of all 4 atoms:
Se 0.5000 0.5000 0.2439  4 Se 2.98
Se 0.0000 0.0000 0.9091  4 Mo 2.62
Cl 0.0000 0.0000 0.5942  4 Mo 2.64
Mo 0.5000 0.5000 0.7527  4 Se 2.62, 4 Cl 2.64

=====

Least stable = Q

=====

P:
MoSe2Cl | PBE-GGA | relaxed

Computed properties:
SG: Cm, No. 8

Unit cell a=6.6319 b=6.6319 c=7.0073 alpha=60.13 beta=60.13 gamma=27.16
Last column: nearest neighbours and their distance in Å.
Fractional coordinates of all 4 atoms:
Mo 0.2477 0.2477 0.1294  4 Se 2.48, 2 Cl 2.50
Cl 0.6044 0.6044 0.4276  2 Mo 2.50
Se 0.7383 0.7383 0.8626  2 Mo 2.48
Se 0.9096 0.9096 0.0804  2 Mo 2.48

=====

Q:
MoSe2Cl | PBE-GGA | relaxed

Computed properties:
SG: P4mm, No. 99

Unit cell a=3.4180 b=3.4166 c=7.6556 alpha=90.00 beta=90.00 gamma=90.00
Last column: nearest neighbours and their distance in Å.
Fractional coordinates of all 4 atoms:
Cl 0.0000 0.0000 0.5808  1 Se 2.90, 4 Mo 3.00
Se 0.0000 0.0000 0.9592  4 Mo 2.66, 4 Se 2.81, 1 Cl 2.90
Se 0.5000 0.5000 0.1460  1 Mo 2.54, 4 Se 2.81
Mo 0.5000 0.5000 0.8140  5 Se 2.54-2.66

=====

R:
MoSe2Cl | PBE-GGA | relaxed

Computed properties:
SG: R3m, No. 160

Unit cell a=10.7488 b=10.7488 c=10.7488 alpha=16.66 beta=16.66 gamma=16.66
Last column: nearest neighbours and their distance in Å.
Fractional coordinates of all 4 atoms:
Se 0.2529 0.2529 0.2529  6 Se 3.11
Se 0.0264 0.0264 0.0264  3 Mo 2.52
Cl 0.4719 0.4719 0.4719  3 Mo 2.54
Mo 0.7488 0.7488 0.7488  3 Se 2.52, 3 Cl 2.54

=====

S:
MoSe2Cl | PBE-GGA | relaxed

Computed properties:
SG: I4/mmm, No. 139

Unit cell a=4.5651 b=4.5651 c=4.5651 alpha=113.15 beta=113.15 gamma=102.33
Last column: nearest neighbours and their distance in Å.
Fractional coordinates of all 4 atoms:
Mo 0.7500 0.2500 0.5000  2 Cl 2.86, 8 Se 2.89
Cl 0.2500 0.7500 0.5000  2 Mo 2.86, 8 Se 2.89
Se 0.5000 0.5000 0.0000  2 Se 2.86, 4 Cl 2.89, 4 Mo 2.89
Se 0.0000 0.0000 0.0000  2 Se 2.86, 4 Cl 2.89, 4 Mo 2.89

=====

Least stable = S

=====

P:
MoSe2Cl | PBE-GGA | relaxed

Computed properties:
SG: P4/mmm, No. 123

Unit cell a=3.8190 b=3.8224 c=6.0106 alpha=90.00 beta=90.00 gamma=90.00
Last column: nearest neighbours and their distance in Å.
Fractional coordinates of all 4 atoms:
Se 0.0000 0.0000 0.0000  4 Se 2.70
Se 0.5000 0.5000 0.0000  4 Se 2.70
Mo 0.0000 0.5000 0.5000  4 Cl 2.70
Cl 0.5000 0.0000 0.5000  4 Mo 2.70

=====

Q:
MoSe2Cl | PBE-GGA | relaxed

Computed properties:
SG: Cmm2, No. 35

Unit cell a=3.0101 b=3.0101 c=10.8783 alpha=90.00 beta=90.00 gamma=116.16
Last column: nearest neighbours and their distance in Å.
Fractional coordinates of all 4 atoms:
Se 0.5000 0.5000 0.2373  6 Se 3.01-3.18
Se 0.0000 0.0000 0.9322  2 Mo 2.51
Cl 0.0000 0.0000 0.5769  2 Mo 2.50
Mo 0.5000 0.5000 0.7536  2 Cl 2.50, 2 Se 2.51

=====

R:
MoSe2Cl | PBE-GGA | relaxed

Computed properties:
SG: P2/m, No. 10

Unit cell a=4.7406 b=2.9908 c=5.3180 alpha=89.87 beta=90.00 gamma=90.00
Last column: nearest neighbours and their distance in Å.
Fractional coordinates of all 4 atoms:
Cl 0.5000 0.2500 0.2500  2 Cl 2.99, 4 Mo 3.05, 8 Se 3.14
Mo 0.5000 0.7500 0.7500  4 Se 2.68, 2 Mo 2.99
Se 0.0000 0.7516 0.9844  1 Se 2.49, 2 Mo 2.68
Se 0.0000 0.7484 0.5156  1 Se 2.49, 2 Mo 2.68

=====

Least stable = P

=====

P:
MoSeCl3 | PBE-GGA | relaxed

Computed properties:
SG: P2_1/c, No. 14

Unit cell a=6.2062 b=9.9533 c=8.3152 alpha=87.10 beta=90.00 gamma=90.00
Last column: nearest neighbours and their distance in Å.
Fractional coordinates of all 20 atoms:
Se 0.6259 0.4927 0.3329  1 Mo 2.26
Se 0.8741 0.9927 0.8329  1 Mo 2.26
Se 0.1259 0.0073 0.1671  1 Mo 2.26
Se 0.3741 0.5073 0.6671  1 Mo 2.26
Cl 0.6398 0.1695 0.1967  2 Mo 2.50-2.57
Cl 0.2816 0.2529 0.9334  1 Mo 2.46
Cl 0.2350 0.5785 0.0534  2 Mo 2.38-2.41
Cl 0.2184 0.7529 0.4334  1 Mo 2.46
Cl 0.2650 0.0785 0.5534  2 Mo 2.38-2.41
Cl 0.7350 0.9215 0.4466  2 Mo 2.38-2.41
Cl 0.1398 0.3305 0.3033  2 Mo 2.50-2.57
Cl 0.8602 0.6695 0.6967  2 Mo 2.50-2.57
Cl 0.7816 0.2471 0.5666  1 Mo 2.46
Cl 0.3602 0.8305 0.8033  2 Mo 2.50-2.57
Cl 0.7184 0.7471 0.0666  1 Mo 2.46
Cl 0.7650 0.4215 0.9466  2 Mo 2.38-2.41
Mo 0.5315 0.6078 0.8745  1 Se 2.26, 4 Cl 2.38-2.50
Mo 0.0315 0.8922 0.6255  1 Se 2.26, 4 Cl 2.38-2.50
Mo 0.4685 0.3922 0.1255  1 Se 2.26, 4 Cl 2.38-2.50
Mo 0.9685 0.1078 0.3745  1 Se 2.26, 4 Cl 2.38-2.50

=====

Q:
MoSeCl3 | PBE-GGA | relaxed

Computed properties:
SG: Pm-3m, No. 221

Unit cell a=4.7911 b=4.7911 c=4.7911 alpha=90.00 beta=90.00 gamma=90.00
Last column: nearest neighbours and their distance in Å.
Fractional coordinates of all 5 atoms:
Cl 0.5000 0.0000 0.0000  2 Mo 2.40
Cl 0.0000 0.5000 0.0000  2 Mo 2.40
Cl 0.0000 0.0000 0.5000  2 Mo 2.40
Se 0.5000 0.5000 0.5000  12 Cl 3.39
Mo 0.0000 0.0000 0.0000  6 Cl 2.40

=====

Least stable = Q

=====

P:
MoSeCl3 | PBE-GGA | relaxed

Computed properties:
SG: C2/c, No. 15

Unit cell a=6.6504 b=7.8434 c=12.2735 alpha=86.95 beta=82.78 gamma=64.92
Last column: nearest neighbours and their distance in Å.
Fractional coordinates of all 20 atoms:
Se 0.9812 0.3660 0.7065  1 Se 2.31, 1 Mo 2.56
Se 0.6528 0.3660 0.7935  1 Se 2.31, 1 Mo 2.56
Se 0.0188 0.6340 0.2935  1 Se 2.31, 1 Mo 2.56
Se 0.3472 0.6340 0.2065  1 Se 2.31, 1 Mo 2.56
Cl 0.2709 0.9244 0.6993  2 Mo 2.42-2.51
Cl 0.7291 0.0756 0.3007  2 Mo 2.42-2.51
Cl 0.0289 0.1846 0.4631  2 Mo 2.52
Cl 0.9711 0.8154 0.5369  2 Mo 2.52
Cl 0.7528 0.7764 0.0788  1 Mo 2.38
Cl 0.5292 0.2236 0.5788  1 Mo 2.38
Cl 0.4708 0.7764 0.4212  1 Mo 2.38
Cl 0.1954 0.0756 0.1993  2 Mo 2.42-2.51
Cl 0.2472 0.2236 0.9212  1 Mo 2.38
Cl 0.2135 0.8154 0.9631  2 Mo 2.52
Cl 0.7865 0.1846 0.0369  2 Mo 2.52
Cl 0.8046 0.9244 0.8007  2 Mo 2.42-2.51
Mo 0.0134 0.1051 0.8516  5 Cl 2.38-2.52, 2 Se 2.56-2.60
Mo 0.9866 0.8949 0.1484  5 Cl 2.38-2.52, 2 Se 2.56-2.60
Mo 0.1184 0.8949 0.3516  5 Cl 2.38-2.52, 2 Se 2.56-2.60
Mo 0.8816 0.1051 0.6484  5 Cl 2.38-2.52, 2 Se 2.56-2.60

=====

Q:
MoSeCl3 | PBE-GGA | relaxed

Computed properties:
SG: Pm-3m, No. 221

Unit cell a=5.1325 b=5.1325 c=5.1325 alpha=90.00 beta=90.00 gamma=90.00
Last column: nearest neighbours and their distance in Å.
Fractional coordinates of all 5 atoms:
Se 0.0000 0.0000 0.0000  6 Cl 2.57
Cl 0.0000 0.0000 0.5000  2 Se 2.57
Cl 0.5000 0.0000 0.0000  2 Se 2.57
Cl 0.0000 0.5000 0.0000  2 Se 2.57
Mo 0.5000 0.5000 0.5000  12 Cl 3.63

=====

Least stable = Q